# 1
A plane-wave DFT calculation with PBE-GGA was carried out for an optimized crystal structure of LuNiSnPd.

- electronic total energy (eV/atom) = -5.207
- crystal system = cubic

```
data_LuNiSnPd
_chemical_formula_sum 'Lu4 Ni4 Sn4 Pd4'
_space_group_name_H-M_alt 'F -4 3 m'
_space_group_IT_number 216
_space_group_name_Hall 'F -4 2 3'
_cell_length_a 6.629
_cell_length_b 6.629
_cell_length_c 6.629
_cell_angle_alpha 90.00
_cell_angle_beta 90.00
_cell_angle_gamma 90.00
loop_
_atom_site_label
_atom_site_fract_x
_atom_site_fract_y
_atom_site_fract_z
Lu1 0.000 0.000 0.000
Ni1 0.000 0.000 0.500
Sn1 0.250 0.250 0.250
Pd1 0.250 0.250 0.750
```



# 2
A plane-wave DFT calculation with PBE-GGA was carried out for an optimized crystal structure of LuTlNiPd.

- electronic total energy (eV/atom) = -4.638
- crystal system = cubic

```
data_LuTlNiPd
_chemical_formula_sum 'Lu4 Tl4 Ni4 Pd4'
_space_group_name_H-M_alt 'F -4 3 m'
_space_group_IT_number 216
_space_group_name_Hall 'F -4 2 3'
_cell_length_a 6.690
_cell_length_b 6.690
_cell_length_c 6.690
_cell_angle_alpha 90.00
_cell_angle_beta 90.00
_cell_angle_gamma 90.00
loop_
_atom_site_label
_atom_site_fract_x
_atom_site_fract_y
_atom_site_fract_z
Lu1 0.000 0.000 0.000
Tl1 0.250 0.250 0.250
Ni1 0.000 0.000 0.500
Pd1 0.250 0.250 0.750
```



# 3
A plane-wave DFT calculation with PBE-GGA was carried out for an optimized crystal structure of LuTlNiPd.

- electronic total energy (eV/atom) = -4.849
- crystal system = cubic

```
data_LuTlNiPd
_chemical_formula_sum 'Lu4 Tl4 Ni4 Pd4'
_space_group_name_H-M_alt 'F -4 3 m'
_space_group_IT_number 216
_space_group_name_Hall 'F -4 2 3'
_cell_length_a 6.634
_cell_length_b 6.634
_cell_length_c 6.634
_cell_angle_alpha 90.00
_cell_angle_beta 90.00
_cell_angle_gamma 90.00
loop_
_atom_site_label
_atom_site_fract_x
_atom_site_fract_y
_atom_site_fract_z
Lu1 0.000 0.000 0.000
Tl1 0.000 0.000 0.500
Ni1 0.250 0.250 0.750
Pd1 0.250 0.250 0.250
```



# 4
A plane-wave DFT calculation with PBE-GGA was carried out for an optimized crystal structure of Lu2NiPt.

- energy of formation (eV per atom) = -0.942
- crystal system = orthorhombic

```
data_Lu2NiPt
_chemical_formula_sum 'Lu4 Ni2 Pt2'
_space_group_name_H-M_alt 'P m c 21'
_space_group_IT_number 26
_space_group_name_Hall 'P 2c -2'
_cell_length_a 4.258
_cell_length_b 5.430
_cell_length_c 6.927
_cell_angle_alpha 90.00
_cell_angle_beta 90.00
_cell_angle_gamma 90.00
loop_
_atom_site_label
_atom_site_fract_x
_atom_site_fract_y
_atom_site_fract_z
Lu1 0.000 0.113 0.000
Lu2 0.500 0.382 0.641
Ni1 0.500 0.104 0.278
Pt1 0.000 0.387 0.359
```



# 5
A plane-wave DFT calculation with PBE-GGA was carried out for an optimized crystal structure of LuNiPt.

- energy of formation (eV per atom) = -0.529
- crystal system = cubic

```
data_LuNiPt
_chemical_formula_sum 'Lu4 Ni4 Pt4'
_space_group_name_H-M_alt 'F -4 3 m'
_space_group_IT_number 216
_space_group_name_Hall 'F -4 2 3'
_cell_length_a 6.245
_cell_length_b 6.245
_cell_length_c 6.245
_cell_angle_alpha 90.00
_cell_angle_beta 90.00
_cell_angle_gamma 90.00
loop_
_atom_site_label
_atom_site_fract_x
_atom_site_fract_y
_atom_site_fract_z
Lu1 0.000 0.000 0.000
Ni1 0.000 0.000 0.500
Pt1 0.250 0.250 0.250
```



# 6
A plane-wave DFT calculation with PBE-GGA was carried out for an optimized crystal structure of Lu2NiPt.

- energy of formation (eV per atom) = -0.479
- crystal system = cubic

```
data_Lu2NiPt
_chemical_formula_sum 'Lu8 Ni4 Pt4'
_space_group_name_H-M_alt 'F -4 3 m'
_space_group_IT_number 216
_space_group_name_Hall 'F -4 2 3'
_cell_length_a 6.592
_cell_length_b 6.592
_cell_length_c 6.592
_cell_angle_alpha 90.00
_cell_angle_beta 90.00
_cell_angle_gamma 90.00
loop_
_atom_site_label
_atom_site_fract_x
_atom_site_fract_y
_atom_site_fract_z
Lu1 0.000 0.000 0.000
Lu2 0.250 0.250 0.250
Ni1 0.250 0.250 0.750
Pt1 0.000 0.000 0.500
```